# Tb12Pm6Sc | the Alexandria database | PBE-GGA | optimized geometry
data_Tb12Pm6Sc
_chemical_formula_sum 'Tb36 Pm18 Sc3'
_space_group_name_H-M_alt 'R -3'
_space_group_IT_number 148
_space_group_name_Hall '-R 3'
_cell_length_a 11.9992
_cell_length_b 11.9992
_cell_length_c 15.0723
_cell_angle_alpha 90.00
_cell_angle_beta 90.00
_cell_angle_gamma 120.00
loop_
_atom_site_label
_atom_site_type_symbol
_atom_site_fract_x
_atom_site_fract_y
_atom_site_fract_z
Tb1 Tb 0.0064 0.1731 0.1888
Tb2 Tb 0.0479 0.1932 0.4151
Pm1 Pm 0.0144 0.5909 0.6829
Sc1 Sc 0.0000 0.0000 0.0000
# Calculated total energy ... -0.1695 hartree per atom
# Size of the total moment ... 0.00 Bohr magnetons per cell